A plane-wave DFT calculation with PBE was carried out for a relaxed structure of KRe2Tc.

Symmetry = F-43m, No. 216
Energy above the most stable polymorph in this dataset = 756.4 meV per atom
Formation enthalpy at 0 K = 1477 meV per atom
N(E_F) = 4.378 states/eV/cell

a = 4.540 Å, b = 4.540 Å, c = 4.540 Å
α = 60.00°, β = 60.00°, γ = 60.00°
Sites, in units of the cell vectors:
K: 0.500 0.500 0.500
Re: 0.000 0.000 0.000
Re: 0.250 0.250 0.250
Tc: 0.750 0.750 0.750